(1)
Density functional theory data (GGA-PBE) for Ac5ErSn6 after structural relaxation.

```
Ac5ErSn6
1.0
-2.233 5.669 -6.019
-6.105 3.315 0.441
0.508 7.639 4.534
Ac Sn Er
5 6 1
direct
0.500 0.191 0.619
0.500 0.500 0.000
0.000 0.354 0.292
0.500 0.809 0.381
0.000 0.646 0.708
0.202 0.655 0.325
0.202 0.980 0.675
0.300 0.167 0.000
0.700 0.833 0.000
0.798 0.020 0.325
0.798 0.345 0.675
0.000 0.000 0.000
```

## Properties
Electronic total energy = -4.685 eV/atom
SG = C2/m, No. 12
ΔE_f = -0.59 eV/atom



(2)
Density functional theory data (GGA-PBE) for Ac3ErSn2 after structural relaxation.

```
Ac3ErSn2
1.0
-2.072 -6.626 0.000
3.488 -1.090 5.886
-8.012 6.142 1.809
Sn Ac Er
4 6 2
direct
0.101 0.369 0.737
0.899 0.631 0.263
0.636 0.869 0.737
0.364 0.131 0.263
0.568 0.324 0.648
0.079 0.824 0.648
0.921 0.176 0.352
0.500 0.250 0.000
0.432 0.676 0.352
0.500 0.750 0.000
0.000 0.250 0.000
0.000 0.750 0.000
```

## Properties
Electronic total energy = -4.646 eV/atom
SG = Ibam, No. 72
ΔE_f = -0.50 eV/atom



(3)
Density functional theory data (GGA-PBE) for Ac12ErSn6 after structural relaxation.

```
Ac12ErSn6
1.0
9.795 -0.843 -1.010
-2.318 9.554 -1.010
-2.318 -2.701 9.220
Sn Ac Er
6 12 1
direct
0.361 0.665 0.814
0.665 0.814 0.361
0.335 0.186 0.639
0.814 0.361 0.665
0.639 0.335 0.186
0.186 0.639 0.335
0.316 0.011 0.876
0.118 0.360 0.463
0.360 0.463 0.118
0.124 0.684 0.989
0.989 0.124 0.684
0.011 0.876 0.316
0.463 0.118 0.360
0.684 0.989 0.124
0.640 0.537 0.882
0.882 0.640 0.537
0.876 0.316 0.011
0.537 0.882 0.640
0.000 0.000 0.000
```

## Properties
Electronic total energy = -4.343 eV/atom
SG = R-3, No. 148
ΔE_f = -0.24 eV/atom



(4)
Density functional theory data (GGA-PBE) for Ac4ErSn5 after structural relaxation.

```
Ac4ErSn5
1.0
3.823 0.000 0.000
0.000 3.823 0.000
0.000 0.000 22.110
Ac Er Sn
4 1 5
direct
0.000 0.000 0.396
0.000 0.000 0.604
0.000 0.000 0.186
0.000 0.000 0.814
0.000 0.000 0.000
0.500 0.500 0.917
0.500 0.500 0.291
0.500 0.500 0.083
0.500 0.500 0.709
0.500 0.500 0.500
```

## Properties
Electronic total energy = -4.700 eV/atom
SG = P4/mmm, No. 123
ΔE_f = -0.60 eV/atom



(5)
Density functional theory data (GGA-PBE) for Ac3ErSn12 after structural relaxation.

```
Ac3ErSn12
1.0
-1.473 -4.644 -0.328
2.194 -0.996 4.247
-16.243 4.483 9.442
Sn Ac Er
12 3 1
direct
0.000 0.500 0.371
0.500 0.500 0.000
0.500 0.000 0.371
0.500 0.000 0.885
0.500 0.500 0.242
0.500 0.500 0.500
0.000 0.500 0.629
0.000 0.500 0.885
0.500 0.000 0.115
0.500 0.000 0.629
0.500 0.500 0.758
0.000 0.500 0.115
0.000 0.000 0.243
0.000 0.000 0.500
0.000 0.000 0.757
0.000 0.000 0.000
```

## Properties
Electronic total energy = -4.538 eV/atom
SG = P4/mmm, No. 123
ΔE_f = -0.48 eV/atom



(6)
Density functional theory data (GGA-PBE) for AcErSn6 after structural relaxation.

```
AcErSn6
1.0
4.896 0.000 0.000
0.000 4.896 0.000
0.000 0.000 9.298
Er Sn Ac
1 6 1
direct
0.000 0.000 0.500
0.000 0.500 0.264
0.500 0.000 0.264
0.500 0.000 0.736
0.500 0.500 0.000
0.500 0.500 0.500
0.000 0.500 0.736
0.000 0.000 0.000
```

## Properties
Electronic total energy = -4.535 eV/atom
SG = P4/mmm, No. 123
ΔE_f = -0.45 eV/atom



V for the records above, in order: 35.25; 36.10; 41.45; 32.32; 28.78; 27.85 A^3/atom
Magnetization for the records above, in order: 0.00; 0.96; 0.00; 0.00; 0.00; 0.00 μB/f.u.